Record 1
A plane-wave DFT calculation with PBE was carried out for crystalline KCaLa2Tc at its relaxed geometry.

abc: 5.4923 5.4923 6.2591
angles: 90.00 90.00 90.00
Closest atoms and distances in Å follow each position.
Space group P4/mmm (No. 123)
Inequivalent atoms, fractional coordinates:
K: 0.0000 0.0000 0.0000  4 Ca 3.88, 8 La 4.16
Ca: 0.5000 0.5000 0.0000  2 Tc 3.13
La: 0.0000 0.5000 0.5000  2 Tc 2.75
Tc: 0.5000 0.5000 0.5000  4 La 2.75

Calculated values
Crystal system: tetragonal
D(E_F) in states/eV/f.u.: 5.427
E_tot in eV/cell: -22.5

---

Record 2
A plane-wave DFT calculation with PBE was carried out for crystalline KCaLaTi2 at its relaxed geometry.

abc: 5.1442 5.1442 5.5446
angles: 90.00 90.00 90.00
Closest atoms and distances in Å follow each position.
Space group P4/mmm (No. 123)
Inequivalent atoms, fractional coordinates:
K: 0.0000 0.0000 0.0000  4 Ti 2.57, 2 La 2.77
Ca: 0.5000 0.5000 0.5000  4 La 3.64, 8 Ti 3.78
La: 0.0000 0.0000 0.5000  2 K 2.77
Ti: 0.0000 0.5000 0.0000  2 K 2.57

Calculated values
Crystal system: tetragonal
D(E_F) in states/eV/f.u.: 7.892
E_tot in eV/cell: -16.3

---

Record 3
A plane-wave DFT calculation with PBE was carried out for crystalline KCaLaY2 at its relaxed geometry.

abc: 5.7205 5.7205 5.6773
angles: 90.00 90.00 90.00
Closest atoms and distances in Å follow each position.
Space group P4/mmm (No. 123)
Inequivalent atoms, fractional coordinates:
K: 0.0000 0.0000 0.0000  2 Ca 2.84, 4 Y 2.86
Ca: 0.0000 0.0000 0.5000  2 K 2.84
La: 0.5000 0.5000 0.5000  8 Y 4.03, 4 Ca 4.05
Y: 0.0000 0.5000 0.0000  2 K 2.86

Calculated values
Crystal system: tetragonal
D(E_F) in states/eV/f.u.: 5.295
E_tot in eV/cell: -16.4

---

Record 4
A plane-wave DFT calculation with PBE was carried out for crystalline K2CaLaZr at its relaxed geometry.

abc: 6.0707 6.0707 6.3682
angles: 90.00 90.00 90.00
Closest atoms and distances in Å follow each position.
Space group P4/mmm (No. 123)
Inequivalent atoms, fractional coordinates:
K: 0.0000 0.5000 0.0000  2 Ca 3.04
Ca: 0.0000 0.0000 0.0000  4 K 3.04, 2 La 3.18
La: 0.0000 0.0000 0.5000  2 Ca 3.18
Zr: 0.5000 0.5000 0.5000  4 La 4.29, 8 K 4.40

Calculated values
Crystal system: tetragonal
D(E_F) in states/eV/f.u.: 7.062
E_tot in eV/cell: -10.5

---

Record 5
A plane-wave DFT calculation with PBE was carried out for crystalline KLi2Ca at its relaxed geometry.

abc: 3.9188 6.0219 12.3955
angles: 90.00 90.00 90.00
Closest atoms and distances in Å follow each position.
Space group Imm2 (No. 44)
Inequivalent atoms, fractional coordinates:
K: 0.0000 0.0000 0.0000  6 Li 3.65-3.82, 2 K 3.92, 2 Ca 3.97
Li: 0.0000 0.0000 0.5512  2 Li 3.01
Li: 0.0000 0.5000 0.2359  2 Li 3.01
Ca: 0.0000 0.5000 0.7914  6 Li 3.66-3.77, 2 Ca 3.92, 2 K 3.97

Calculated values
Crystal system: orthorhombic
Excess energy over the best structure of this formula in the dataset in meV/atom: 46
D(E_F) in states/eV/f.u.: 2.726
E_tot in eV/cell: -12.7

---

Record 6
A plane-wave DFT calculation with PBE was carried out for crystalline KLiCa2 at its relaxed geometry.

abc: 5.1571 5.1571 27.0017
angles: 90.00 90.00 90.00
Closest atoms and distances in Å follow each position.
Space group I-42d (No. 122)
Inequivalent atoms, fractional coordinates:
K: 0.0000 0.0000 0.0000  4 Li 3.65, 4 Ca 3.86
Li: 0.0000 0.0000 0.5000  4 K 3.65, 4 Ca 3.82
Ca: 0.2392 0.2500 0.6250  4 Ca 3.57-3.73, 2 Li 3.82, 2 K 3.86

Calculated values
Crystal system: tetragonal
D(E_F) in states/eV/f.u.: 5.349
E_tot in eV/cell: -23.0

---

Record 7
A plane-wave DFT calculation with PBE was carried out for crystalline K3LiCa at its relaxed geometry.

abc: 6.7369 6.7369 6.7369
angles: 90.00 90.00 90.00
Closest atoms and distances in Å follow each position.
Space group Pm-3m (No. 221)
Inequivalent atoms, fractional coordinates:
K: 0.0000 0.0000 0.5000  2 Li 3.37
Li: 0.0000 0.0000 0.0000  6 K 3.37
Ca: 0.5000 0.5000 0.5000  12 K 4.76

Calculated values
Crystal system: cubic
Excess energy over the best structure of this formula in the dataset in meV/atom: 0
D(E_F) in states/eV/f.u.: 7.629
E_tot in eV/cell: -5.7

---

Record 8
A plane-wave DFT calculation with PBE was carried out for crystalline KLiCa2 at its relaxed geometry.

abc: 5.3678 5.3678 5.9343
angles: 90.00 90.00 90.00
Closest atoms and distances in Å follow each position.
Space group P4/mmm (No. 123)
Inequivalent atoms, fractional coordinates:
K: 0.0000 0.0000 0.0000  4 Li 3.80, 8 Ca 4.00
Li: 0.5000 0.5000 0.0000  4 K 3.80, 8 Ca 4.00
Ca: 0.0000 0.5000 0.5000  4 Ca 3.80, 4 K 4.00, 4 Li 4.00

Calculated values
Crystal system: tetragonal
D(E_F) in states/eV/f.u.: 4.141
E_tot in eV/cell: -6.2